<1>
PrDyPt | PBE | optimized geometry

abc: 4.3518 4.6814 4.6814
angles: 120.00 90.00 90.00
Fractional coordinates of all 3 atoms:
Dy 0.7679 0.6667 0.3333
Pr 0.2856 0.3333 0.6667
Pt 0.9465 0.0000 0.0000

Computed properties:
Magnetic moment (μB/f.u.): 0.0
SG: P3m1, No. 156

---

<2>
PrDyPt | PBE | optimized geometry

abc: 5.9436 7.0714 8.5686
angles: 94.22 90.00 90.00
Fractional coordinates of all 12 atoms:
Pt 0.3426 0.4623 0.6354
Pt 0.1574 0.9623 0.1354
Dy 0.8764 0.3017 0.1333
Dy 0.6236 0.8017 0.6333
Pr 0.3555 0.1924 0.8821
Dy 0.3764 0.1983 0.3667
Pr 0.1445 0.6924 0.3821
Pr 0.8555 0.3076 0.6179
Dy 0.1236 0.6983 0.8667
Pt 0.6574 0.5377 0.3646
Pr 0.6445 0.8076 0.1179
Pt 0.8426 0.0377 0.8646

Computed properties:
Magnetic moment (μB/f.u.): 0.0
SG: P2_1/c, No. 14

---

Which one is most stable, and which one is least stable? <2> is the most stable of them, while <1> is the least stable.

---

<1>
PrDyPtRh | PBE | optimized geometry

abc: 3.8678 4.4317 5.7021
angles: 90.00 109.83 90.00
Fractional coordinates of all 4 atoms:
Pr 0.1446 0.0000 0.2893
Pt 0.5824 0.5000 0.1648
Dy 0.8634 0.5000 0.7269
Rh 0.4095 0.0000 0.8190

Computed properties:
Magnetic moment (μB/f.u.): 0.0
SG: Amm2, No. 38

---

<2>
PrDyPtRh | PBE | optimized geometry

abc: 4.9990 4.9990 4.9990
angles: 60.00 60.00 60.00
Fractional coordinates of all 4 atoms:
Pr 0.5000 0.5000 0.5000
Rh 0.2500 0.2500 0.2500
Dy 0.0000 0.0000 0.0000
Pt 0.7500 0.7500 0.7500

Computed properties:
Magnetic moment (μB/f.u.): 0.0
SG: F-43m, No. 216

---

Which one is most stable, and which one is least stable? <1> is the most stable of them, while <2> is the least stable.

---

<1>
Pr2DyPu | PBE | optimized geometry

abc: 3.6221 3.6221 11.8401
angles: 81.20 81.20 60.00
Each line ends with the local moment (μB).
Fractional coordinates of all 4 atoms:
Pr 0.0824 0.0824 0.7528  -0.01
Dy 0.4999 0.4999 0.5002  0.10
Pu 0.6669 0.6669 0.9993  -5.64
Pr 0.2508 0.2508 0.2476  -0.04

Computed properties:
Magnetic moment (μB/f.u.): 6.1
SG: R3m, No. 160

---

<2>
Pr2DyPu | PBE | optimized geometry

abc: 3.5230 3.5230 12.6833
angles: 82.02 82.02 60.00
Each line ends with the local moment (μB).
Fractional coordinates of all 4 atoms:
Dy 0.5000 0.5000 0.5000  0.00
Pr 0.0881 0.0881 0.7356  -0.06
Pu 0.0000 0.0000 0.0000  -5.81
Pr 0.9119 0.9119 0.2644  -0.06

Computed properties:
Magnetic moment (μB/f.u.): 6.6
SG: R-3m, No. 166

---

Which one is most stable, and which one is least stable? <1> is the most stable of them, while <2> is the least stable.

---

<1>
Pr2DyPu | PBE | optimized geometry

abc: 5.0424 5.0928 5.0928
angles: 90.00 90.00 90.00
Each line ends with the local moment (μB).
Fractional coordinates of all 4 atoms:
Pr 0.0000 0.0000 0.5000  0.04
Pu 0.5000 0.0000 0.0000  5.52
Dy 0.5000 0.5000 0.5000  0.11
Pr 0.0000 0.5000 0.0000  0.04

Computed properties:
Magnetic moment (μB/f.u.): 6.2
SG: P4/mmm, No. 123

---

<2>
Pr2DyPu | PBE | optimized geometry

abc: 3.5883 3.5883 10.2375
angles: 90.00 90.00 90.00
Each line ends with the local moment (μB).
Fractional coordinates of all 4 atoms:
Pu 0.5000 0.5000 0.5000  5.65
Pr 0.0000 0.0000 0.7462  0.04
Pr 0.0000 0.0000 0.2538  0.04
Dy 0.5000 0.5000 0.0000  -0.16

Computed properties:
Magnetic moment (μB/f.u.): 6.2
SG: P4/mmm, No. 123

---

Which one is most stable, and which one is least stable? <2> is the most stable of them, while <1> is the least stable.

---

<1>
PrDy2Rh2 | PBE | optimized geometry

abc: 4.1247 4.7629 12.6486
angles: 90.00 99.38 90.00
Fractional coordinates of all 10 atoms:
Dy 0.2503 0.7500 0.5006
Rh 0.1761 0.2500 0.3522
Rh 0.8239 0.7500 0.6478
Rh 0.4711 0.2500 0.9421
Dy 0.7497 0.2500 0.4994
Dy 0.9470 0.7500 0.8939
Dy 0.0530 0.2500 0.1061
Pr 0.3646 0.2500 0.7293
Pr 0.6354 0.7500 0.2707
Rh 0.5289 0.7500 0.0579

Computed properties:
Magnetic moment (μB/f.u.): 0.0
SG: Cmcm, No. 63

---

<2>
PrDy2Rh2 | PBE | optimized geometry

abc: 4.5304 4.5303 7.0688
angles: 111.17 111.17 89.99
Fractional coordinates of all 5 atoms:
Rh 0.4166 0.4166 0.7863
Dy 0.2470 0.7530 0.5000
Rh 0.5834 0.5834 0.2137
Pr 0.0000 0.0000 0.0000
Dy 0.7530 0.2470 0.5000

Computed properties:
Magnetic moment (μB/f.u.): 0.0
SG: C2/m, No. 12

---

Which one is most stable, and which one is least stable? <1> is the most stable of them, while <2> is the least stable.

---

<1>
PrDyRh | PBE | optimized geometry

abc: 4.4789 5.9215 6.5998
angles: 106.08 90.00 90.00
Fractional coordinates of all 6 atoms:
Rh 0.2522 0.8428 0.5515
Rh 0.7523 0.1650 0.4517
Pr 0.2522 0.4340 0.7198
Pr 0.7522 0.5737 0.2834
Dy 0.2523 0.0307 0.2063
Dy 0.7522 0.9770 0.7969

Computed properties:
Magnetic moment (μB/f.u.): 0.0
SG: P2_1/m, No. 11

---

<2>
PrDyRh | PBE | optimized geometry

abc: 6.1385 6.9491 8.1402
angles: 93.89 90.00 90.00
Fractional coordinates of all 12 atoms:
Dy 0.3855 0.2080 0.3674
Dy 0.6145 0.7920 0.6326
Dy 0.1145 0.7080 0.8674
Rh 0.6714 0.5277 0.3659
Rh 0.1714 0.9723 0.1341
Rh 0.8286 0.0277 0.8659
Dy 0.8855 0.2920 0.1326
Pr 0.8700 0.2960 0.6138
Rh 0.3286 0.4723 0.6341
Pr 0.6300 0.7960 0.1138
Pr 0.1300 0.7040 0.3862
Pr 0.3700 0.2040 0.8862

Computed properties:
Magnetic moment (μB/f.u.): 0.0
SG: P2_1/c, No. 14

---

<3>
PrDyRh | PBE | optimized geometry

abc: 4.9041 4.9041 4.9041
angles: 60.00 60.00 60.00
Fractional coordinates of all 3 atoms:
Pr 0.0000 0.0000 0.0000
Dy 0.5000 0.5000 0.5000
Rh 0.2500 0.2500 0.2500

Computed properties:
Magnetic moment (μB/f.u.): 0.0
SG: F-43m, No. 216

---

<4>
PrDyRh | PBE | optimized geometry

abc: 6.2967 4.0952 4.0952
angles: 120.00 90.00 90.00
Fractional coordinates of all 3 atoms:
Dy 0.2339 0.3333 0.6667
Pr 0.7565 0.6667 0.3333
Rh 0.0096 0.0000 0.0000

Computed properties:
Magnetic moment (μB/f.u.): 0.0
SG: P3m1, No. 156

---

Which one is most stable, and which one is least stable? <1> is the most stable of them, while <4> is the least stable.

---

<1>
PrDyRh | PBE | optimized geometry

abc: 3.8848 8.2346 7.1519
angles: 130.69 105.76 90.00
Fractional coordinates of all 6 atoms:
Rh 0.1350 0.5751 0.2700
Dy 0.1742 0.2702 0.3484
Pr 0.4191 0.2120 0.8382
Pr 0.5809 0.7880 0.1618
Rh 0.8650 0.4249 0.7300
Dy 0.8258 0.7298 0.6516

Computed properties:
Magnetic moment (μB/f.u.): 0.0
SG: C2/m, No. 12

---

<2>
PrDyRh | PBE | optimized geometry

abc: 3.5210 3.5210 6.8965
angles: 104.79 104.79 90.00
Fractional coordinates of all 3 atoms:
Dy 0.2924 0.2924 0.5848
Rh 0.6755 0.6755 0.3511
Pr 0.0320 0.0320 0.0641

Computed properties:
Magnetic moment (μB/f.u.): 0.0
SG: I4mm, No. 107

---

Which one is most stable, and which one is least stable? <1> is the most stable of them, while <2> is the least stable.

---

<1>
Pr2Dy2Rh3 | PBE | optimized geometry

abc: 4.4024 6.0885 7.5008
angles: 98.96 89.94 111.18
Fractional coordinates of all 7 atoms:
Dy 0.3620 0.7244 0.0696
Rh 0.0000 0.0000 0.0000
Pr 0.1323 0.2651 0.3559
Dy 0.6380 0.2756 0.9304
Pr 0.8677 0.7349 0.6441
Rh 0.8039 0.6092 0.2629
Rh 0.1961 0.3908 0.7371

Computed properties:
Magnetic moment (μB/f.u.): 0.0
SG: P-1, No. 2

---

<2>
Pr2Dy2Rh3 | PBE | optimized geometry

abc: 7.5868 7.5868 7.5868
angles: 109.47 109.47 109.47
Fractional coordinates of all 14 atoms:
Rh 0.7500 0.6607 0.4107
Rh 0.3393 0.0893 0.7500
Rh 0.1607 0.4107 0.2500
Pr 0.5000 0.3738 0.5000
Dy 0.1128 0.6128 0.6128
Dy 0.5000 0.8872 0.5000
Pr 0.8738 0.5000 0.0000
Rh 0.5893 0.7500 0.8393
Pr 0.6262 0.1262 0.1262
Pr 0.0000 0.0000 0.3738
Dy 0.3872 0.5000 0.0000
Rh 0.9107 0.2500 0.6607
Rh 0.2500 0.8393 0.0893
Dy 0.0000 0.0000 0.8872

Computed properties:
Magnetic moment (μB/f.u.): 0.0
SG: I2_13, No. 199

---

Which one is most stable, and which one is least stable? <2> is the most stable of them, while <1> is the least stable.

---

<1>
PrDy2Rh | PBE | optimized geometry

abc: 3.5097 3.5097 8.8033
angles: 90.00 90.00 90.00
Fractional coordinates of all 4 atoms:
Dy 0.0000 0.0000 0.8152
Dy 0.0000 0.0000 0.1848
Rh 0.5000 0.5000 0.0000
Pr 0.5000 0.5000 0.5000

Computed properties:
Magnetic moment (μB/f.u.): 0.0
SG: P4/mmm, No. 123

---

<2>
PrDy2Rh | PBE | optimized geometry

abc: 3.7145 3.7145 10.7837
angles: 80.08 80.08 60.00
Fractional coordinates of all 4 atoms:
Rh 0.5000 0.5000 0.5000
Pr 0.0000 0.0000 0.0000
Dy 0.8866 0.8866 0.3401
Dy 0.1134 0.1134 0.6599

Computed properties:
Magnetic moment (μB/f.u.): 0.0
SG: R-3m, No. 166

---

Which one is most stable, and which one is least stable? <1> is the most stable of them, while <2> is the least stable.

---

<1>
PrDyZnRh | PBE | optimized geometry

abc: 5.0452 5.0452 5.0452
angles: 60.00 60.00 60.00
Fractional coordinates of all 4 atoms:
Pr 0.7500 0.7500 0.7500
Zn 0.5000 0.5000 0.5000
Dy 0.2500 0.2500 0.2500
Rh 0.0000 0.0000 0.0000

Computed properties:
Magnetic moment (μB/f.u.): 0.0
SG: F-43m, No. 216

---

<2>
PrDyZnRh | PBE | optimized geometry

abc: 3.9688 4.4181 5.7563
angles: 90.00 110.17 90.00
Fractional coordinates of all 4 atoms:
Zn 0.5688 0.5000 0.1376
Pr 0.1436 0.0000 0.2871
Rh 0.4242 0.0000 0.8484
Dy 0.8635 0.5000 0.7269

Computed properties:
Magnetic moment (μB/f.u.): 0.0
SG: Amm2, No. 38

---

Which one is most stable, and which one is least stable? <2> is the most stable of them, while <1> is the least stable.

---

<1>
PrDyRu | PBE | optimized geometry

abc: 4.8713 4.8713 4.8713
angles: 60.00 60.00 60.00
Fractional coordinates of all 3 atoms:
Ru 0.2500 0.2500 0.2500
Dy 0.5000 0.5000 0.5000
Pr 0.0000 0.0000 0.0000

Computed properties:
Magnetic moment (μB/f.u.): 0.0
SG: F-43m, No. 216

---

<2>
PrDyRu | PBE | optimized geometry

abc: 3.4616 3.4616 7.1328
angles: 104.04 104.04 90.00
Fractional coordinates of all 3 atoms:
Dy 0.2898 0.2898 0.5796
Pr 0.0381 0.0381 0.0761
Ru 0.6721 0.6721 0.3443

Computed properties:
Magnetic moment (μB/f.u.): 0.0
SG: I4mm, No. 107

---

<3>
PrDyRu | PBE | optimized geometry

abc: 4.3700 8.6118 8.6118
angles: 90.00 90.00 90.00
Fractional coordinates of all 12 atoms:
Pr 0.0000 0.4429 0.7829
Pr 0.5000 0.7829 0.5571
Dy 0.5000 0.8752 0.1696
Dy 0.5000 0.1248 0.8304
Ru 0.0000 0.0878 0.6270
Pr 0.0000 0.5571 0.2171
Dy 0.0000 0.8304 0.8752
Ru 0.5000 0.3730 0.0878
Ru 0.0000 0.9122 0.3730
Ru 0.5000 0.6270 0.9122
Pr 0.5000 0.2171 0.4429
Dy 0.0000 0.1696 0.1248

Computed properties:
Magnetic moment (μB/f.u.): 0.0
SG: P4_2/m, No. 84

---

Which one is most stable, and which one is least stable? <2> is the most stable of them, while <3> is the least stable.

---

<1>
PrDyS3 | PBE | optimized geometry

abc: 4.0169 7.4324 15.4541
angles: 90.00 90.00 90.00
Fractional coordinates of all 20 atoms:
S 0.7500 0.8510 0.2151
S 0.7500 0.1254 0.0615
S 0.2500 0.0119 0.3953
Pr 0.2500 0.1436 0.2007
S 0.7500 0.4881 0.8953
Pr 0.7500 0.8564 0.7993
S 0.7500 0.9881 0.6047
Dy 0.7500 0.2306 0.4565
S 0.2500 0.1490 0.7849
S 0.2500 0.5119 0.1047
Dy 0.7500 0.7306 0.0435
Dy 0.2500 0.2694 0.9565
Dy 0.2500 0.7694 0.5435
Pr 0.7500 0.3564 0.7007
S 0.7500 0.3510 0.2849
S 0.7500 0.6254 0.4385
S 0.2500 0.3746 0.5615
S 0.2500 0.8746 0.9385
S 0.2500 0.6490 0.7151
Pr 0.2500 0.6436 0.2993

Computed properties:
Magnetic moment (μB/f.u.): 0.0
SG: Pnma, No. 62

---

<2>
PrDyS3 | PBE | optimized geometry

abc: 3.9862 7.9025 7.9050
angles: 94.59 90.00 90.00
Fractional coordinates of all 10 atoms:
Pr 0.2500 0.3767 0.2294
Dy 0.7500 0.1474 0.6759
S 0.7500 0.0963 0.3210
S 0.2500 0.9037 0.6790
Pr 0.7500 0.6233 0.7706
S 0.7500 0.3174 0.9756
Dy 0.2500 0.8526 0.3241
S 0.2500 0.3732 0.6132
S 0.7500 0.6268 0.3868
S 0.2500 0.6826 0.0244

Computed properties:
Magnetic moment (μB/f.u.): 0.0
SG: P2_1/m, No. 11

---

Which one is most stable, and which one is least stable? <1> is the most stable of them, while <2> is the least stable.